[1]
A relaxed structure of KSbBr2. Source: Alexandria, functional PBE.

Cell lengths 3.6709, 3.6709, 9.0551 Å; angles 90.00, 90.00, 101.41 degrees
Closest atoms and distances in Å follow each position.
Fractional positions:
Sb 0.5000 0.5000 0.7500  8 Br 3.32-3.70, 4 Sb 3.67
Br 0.0000 0.0000 0.0117  2 K 3.17, 2 Sb 3.32
Br 0.0000 0.0000 0.4883  2 K 3.17, 2 Sb 3.32
K 0.5000 0.5000 0.2500  4 Br 3.17

## Properties
**DOS(E_F)**: 1.51 states/eV/f.u.
**Calculated volume**: 119.6 Å³/f.u.
**Excess energy over the best structure of this formula in the dataset**: 205.3 meV/atom
**Space-group type**: No. 65
**ΔE_f (raw)**: -220 kJ/mol of formula units
**Total moment**: 0.000 μB per formula unit

***

[2]
A relaxed structure of Tl7HgAu4. Source: Alexandria, functional PBE.

Cell lengths 5.8834, 8.8320, 7.5325 Å; angles 68.47, 67.01, 70.54 degrees
Closest atoms and distances in Å follow each position.
Fractional positions:
Tl 0.9347 0.3937 0.7369  3 Au 2.92-3.06
Tl 0.5000 0.0000 0.0000  2 Hg 2.94, 4 Au 2.97-3.15
Tl 0.0653 0.6063 0.2631  3 Au 2.92-3.06
Tl 0.2774 0.6842 0.7610  5 Au 2.93-3.18
Tl 0.2051 0.1067 0.4830  1 Au 2.99, 1 Tl 3.33
Tl 0.7949 0.8933 0.5170  1 Au 2.99, 1 Tl 3.33
Tl 0.7226 0.3158 0.2390  5 Au 2.93-3.18
Hg 0.0000 0.0000 0.0000  4 Tl 2.94-3.29
Au 0.4951 0.6636 0.3462  2 Au 2.87-2.97, 5 Tl 2.93-3.18
Au 0.5049 0.3364 0.6538  2 Au 2.87-2.97, 5 Tl 2.93-3.18
Au 0.2977 0.3363 0.0684  1 Au 2.87, 6 Tl 2.92-3.16
Au 0.7023 0.6637 0.9316  1 Au 2.87, 6 Tl 2.92-3.16

## Properties
**DOS(E_F)**: 4.87 states/eV/f.u.
**Calculated volume**: 326.8 Å³/f.u.
**Formation energy**: 0.0177 eV/atom
**Space-group type**: No. 12
**Total moment**: 0.000 μB per formula unit

***

[3]
A relaxed structure of HoEr3Tm. Source: Alexandria, functional PBE.

Cell lengths 9.4584, 6.6013, 6.1870 Å; angles 62.10, 109.11, 84.12 degrees
Closest atoms and distances in Å follow each position.
Fractional positions:
Tm 0.8507 0.9493 0.8845  1 Tm 3.45, 9 Er 3.46-3.58, 2 Ho 3.57-3.58
Tm 0.1493 0.4507 0.1155  1 Tm 3.45, 9 Er 3.46-3.58, 2 Ho 3.57-3.58
Ho 0.3493 0.4508 0.7160  9 Er 3.45-3.58, 1 Ho 3.47, 2 Tm 3.57-3.58
Ho 0.6507 0.9492 0.2840  9 Er 3.45-3.58, 1 Ho 3.47, 2 Tm 3.57-3.58
Er 0.4496 0.9512 0.6833  4 Ho 3.45-3.58, 6 Er 3.45-3.58, 2 Tm 3.46-3.58
Er 0.5504 0.4488 0.3167  4 Ho 3.45-3.58, 6 Er 3.45-3.58, 2 Tm 3.46-3.58
Er 0.9504 0.4489 0.5176  6 Er 3.45-3.58, 4 Tm 3.46-3.57, 2 Ho 3.46-3.57
Er 0.0496 0.9511 0.4824  6 Er 3.45-3.58, 4 Tm 3.46-3.57, 2 Ho 3.46-3.57
Er 0.2503 0.9494 0.0842  3 Ho 3.45-3.58, 3 Tm 3.46-3.57, 6 Er 3.46-3.58
Er 0.7497 0.4506 0.9158  3 Ho 3.45-3.58, 3 Tm 3.46-3.57, 6 Er 3.46-3.58

## Properties
**DOS(E_F)**: 8.80 states/eV/f.u.
**Calculated volume**: 153.6 Å³/f.u.
**Excess energy over the best structure of this formula in the dataset**: 0.0 meV/atom
**Formation energy**: -0.0005 eV/atom
**Space-group type**: No. 2
**Total moment**: 0.001 μB per formula unit

***

[4]
A relaxed structure of TlInSnCl4. Source: Alexandria, functional PBE.

Cell lengths 7.9076, 7.9141, 8.8502 Å; angles 90.00, 116.54, 90.00 degrees
Closest atoms and distances in Å follow each position.
Fractional positions:
Cl 0.9300 0.2500 0.8600  1 In 2.77, 1 Sn 2.89
Cl 0.0000 0.5000 0.5000  2 Sn 2.80
Cl 0.0000 0.0000 0.5000  2 Sn 2.80
Cl 0.4257 0.7500 0.8515  1 Sn 2.75, 1 Tl 2.99
Cl 0.5000 0.0000 0.5000  2 Sn 2.80
Cl 0.5743 0.2500 0.1485  1 Sn 2.75, 1 Tl 2.99
Cl 0.5000 0.5000 0.5000  2 Sn 2.80
Cl 0.0700 0.7500 0.1400  1 In 2.77, 1 Sn 2.89
In 0.8952 0.7500 0.7904  1 Cl 2.77
In 0.1048 0.2500 0.2096  1 Cl 2.77
Tl 0.6148 0.7500 0.2296  1 Cl 2.99
Tl 0.3852 0.2500 0.7704  1 Cl 2.99
Sn 0.2523 0.7500 0.5047  6 Cl 2.75-2.89
Sn 0.7477 0.2500 0.4953  6 Cl 2.75-2.89

## Properties
**Calculated volume**: 247.8 Å³/f.u.
**Space-group type**: No. 63
**ΔE_f (raw)**: -619 kJ/mol of formula units
**Total moment**: 0.000 μB per formula unit

***

[5]
A relaxed structure of Ac3Nd. Source: Alexandria, functional PBE.

Cell lengths 5.5460, 5.5460, 6.7888 Å; angles 114.11, 114.11, 90.00 degrees
Closest atoms and distances in Å follow each position.
Fractional positions:
Ac 0.2500 0.7500 0.5000  8 Ac 3.92, 4 Nd 3.92
Ac 0.7500 0.2500 0.5000  8 Ac 3.92, 4 Nd 3.92
Ac 0.5000 0.5000 0.0000  8 Ac 3.92, 4 Nd 3.92
Nd 0.0000 0.0000 0.0000  12 Ac 3.92

## Properties
**DOS(E_F)**: 8.26 states/eV/f.u.
**Calculated volume**: 170.4 Å³/f.u.
**Excess energy over the best structure of this formula in the dataset**: 12.5 meV/atom
**Formation energy**: 0.0328 eV/atom
**Space-group type**: No. 139
**Total moment**: 0.000 μB per formula unit